Below is a relaxed Hf9SiMo4 crystal, with properties calculated at the PBE level.

Energy relative to the elements, uncorrected   -0.23 eV/atom

Unit cell a=8.6361 b=8.6361 c=8.7051 alpha=90.00 beta=90.00 gamma=120.00
Fractional positions:
Hf 0.0744 0.5372 0.2500
Hf 0.1977 0.3954 0.5448
Hf 0.1977 0.3954 0.9552
Hf 0.1977 0.8023 0.5448
Hf 0.1977 0.8023 0.9552
Hf 0.3954 0.1977 0.0448
Hf 0.3954 0.1977 0.4552
Hf 0.4628 0.5372 0.2500
Hf 0.4628 0.9256 0.2500
Hf 0.5372 0.0744 0.7500
Hf 0.5372 0.4628 0.7500
Hf 0.6046 0.8023 0.5448
Hf 0.6046 0.8023 0.9552
Hf 0.8023 0.1977 0.0448
Hf 0.8023 0.1977 0.4552
Hf 0.8023 0.6046 0.0448
Hf 0.8023 0.6046 0.4552
Hf 0.9256 0.4628 0.7500
Si 0.3333 0.6667 0.7500
Si 0.6667 0.3333 0.2500
Mo 0.0000 0.0000 0.0000
Mo 0.0000 0.0000 0.5000
Mo 0.1104 0.2208 0.2500
Mo 0.1104 0.8896 0.2500
Mo 0.2208 0.1104 0.7500
Mo 0.7792 0.8896 0.2500
Mo 0.8896 0.1104 0.7500
Mo 0.8896 0.7792 0.7500